#a
DFT (PBE) results for Ta3CdO after structural relaxation.

total magnetic moment: 0.000 μB per atom

a = 4.9676 Å, b = 4.9676 Å, c = 4.9676 Å
α = 90.00°, β = 90.00°, γ = 90.00°
Last column: nearest neighbours and their distance in Å.
Fractional positions:
Ta1 0.0000 0.0000 0.5000  2 Cd 2.48
Ta2 0.0000 0.5000 0.0000  2 Cd 2.48
Ta3 0.5000 0.0000 0.0000  2 Cd 2.48
Cd1 0.0000 0.0000 0.0000  6 Ta 2.48
O1 0.5000 0.5000 0.5000  12 Ta 3.51

=====

#b
DFT (PBE) results for Ta3CdO after structural relaxation.

total magnetic moment: 0.000 μB per atom

a = 4.3003 Å, b = 4.3003 Å, c = 4.3003 Å
α = 90.00°, β = 90.00°, γ = 90.00°
Last column: nearest neighbours and their distance in Å.
Fractional positions:
Ta1 0.5000 0.0000 0.0000  2 O 2.15
Ta2 0.0000 0.0000 0.5000  2 O 2.15
Ta3 0.0000 0.5000 0.0000  2 O 2.15
Cd1 0.5000 0.5000 0.5000  12 Ta 3.04
O1 0.0000 0.0000 0.0000  6 Ta 2.15

=====

What should be chosen as the most stable of them? Choose #b.

=====

#a
DFT (PBE) results for Ta2CdO after structural relaxation.

total magnetic moment: 0.000 μB per atom

a = 4.4860 Å, b = 4.4860 Å, c = 4.4860 Å
α = 60.00°, β = 60.00°, γ = 60.00°
Last column: nearest neighbours and their distance in Å.
Fractional positions:
Ta1 0.2500 0.2500 0.2500  4 Cd 2.75, 4 O 2.75
Ta2 0.7500 0.7500 0.7500  4 Cd 2.75, 4 O 2.75
Cd1 0.5000 0.5000 0.5000  8 Ta 2.75
O1 0.0000 0.0000 0.0000  8 Ta 2.75

=====

#b
DFT (PBE) results for Ta2CdO after structural relaxation.

total magnetic moment: 0.000 μB per atom

a = 5.2214 Å, b = 5.2214 Å, c = 7.0155 Å
α = 68.15°, β = 68.15°, γ = 90.00°
Last column: nearest neighbours and their distance in Å.
Fractional positions:
Ta1 0.2951 0.6250 0.2500  2 O 2.03
Ta2 0.8750 0.7049 0.7500  2 O 2.03
Ta3 0.4549 0.1250 0.2500  2 O 2.03
Ta4 0.3750 0.5451 0.7500  2 O 2.03
Cd1 0.0000 0.0000 0.0000  4 Ta 2.96
Cd2 0.7500 0.2500 0.5000  4 Ta 2.96
O1 0.2500 0.7500 0.5000  4 Ta 2.03
O2 0.5000 0.5000 0.0000  4 Ta 2.03

=====

What should be chosen as the most stable of them? Choose #b.

=====

#a
DFT (PBE) results for CdTc2O after structural relaxation.

total magnetic moment: 0.110 μB per atom

a = 4.3379 Å, b = 4.3379 Å, c = 4.3379 Å
α = 60.00°, β = 60.00°, γ = 60.00°
Last column: nearest neighbours and their distance in Å.
Fractional positions:
Tc1 0.7500 0.7500 0.7500  4 O 2.66, 4 Cd 2.66
Tc2 0.2500 0.2500 0.2500  4 O 2.66, 4 Cd 2.66
Cd1 0.5000 0.5000 0.5000  8 Tc 2.66
O1 0.0000 0.0000 0.0000  8 Tc 2.66

=====

#b
DFT (PBE) results for CdTc2O after structural relaxation.

total magnetic moment: 0.427 μB per atom

a = 4.7633 Å, b = 4.7633 Å, c = 7.3431 Å
α = 71.07°, β = 71.07°, γ = 90.00°
Last column: nearest neighbours and their distance in Å.
Fractional positions:
O1 0.5000 0.5000 0.0000  4 Tc 2.03
O2 0.2500 0.7500 0.5000  4 Tc 2.03
Cd1 0.7500 0.2500 0.5000  8 Tc 2.97-3.28
Cd2 0.0000 0.0000 0.0000  8 Tc 2.97-3.28
Tc1 0.8750 0.6678 0.7500  2 O 2.03
Tc2 0.4178 0.1250 0.2500  2 O 2.03
Tc3 0.3750 0.5822 0.7500  2 O 2.03
Tc4 0.3322 0.6250 0.2500  2 O 2.03

=====

What should be chosen as the most stable of them? Choose #b.

=====

#a
DFT (PBE) results for Cd3TcO after structural relaxation.

total magnetic moment: 0.781 μB per atom

a = 5.3389 Å, b = 5.3389 Å, c = 5.3389 Å
α = 90.00°, β = 90.00°, γ = 90.00°
Last column: nearest neighbours and their distance in Å.
Fractional positions:
Cd1 0.0000 0.0000 0.5000  2 Tc 2.67
Cd2 0.0000 0.5000 0.0000  2 Tc 2.67
Cd3 0.5000 0.0000 0.0000  2 Tc 2.67
Tc1 0.0000 0.0000 0.0000  6 Cd 2.67
O1 0.5000 0.5000 0.5000  12 Cd 3.78

=====

#b
DFT (PBE) results for Cd3TcO after structural relaxation.

total magnetic moment: 0.378 μB per atom

a = 4.5395 Å, b = 4.5395 Å, c = 4.5395 Å
α = 90.00°, β = 90.00°, γ = 90.00°
Last column: nearest neighbours and their distance in Å.
Fractional positions:
Cd1 0.0000 0.0000 0.5000  2 O 2.27
Cd2 0.5000 0.0000 0.0000  2 O 2.27
Cd3 0.0000 0.5000 0.0000  2 O 2.27
O1 0.0000 0.0000 0.0000  6 Cd 2.27
Tc1 0.5000 0.5000 0.5000  12 Cd 3.21

=====

What should be chosen as the most stable of them? Choose #b.

=====

#a
DFT (PBE) results for Cd3TeO after structural relaxation.

total magnetic moment: 0.000 μB per atom

a = 4.8010 Å, b = 4.8010 Å, c = 4.8010 Å
α = 90.00°, β = 90.00°, γ = 90.00°
Last column: nearest neighbours and their distance in Å.
Fractional positions:
Cd1 0.5000 0.0000 0.0000  2 O 2.40
Cd2 0.0000 0.5000 0.0000  2 O 2.40
Cd3 0.0000 0.0000 0.5000  2 O 2.40
O1 0.0000 0.0000 0.0000  6 Cd 2.40
Te1 0.5000 0.5000 0.5000  12 Cd 3.39

=====

#b
DFT (PBE) results for Cd3TeO after structural relaxation.

total magnetic moment: 0.000 μB per atom

a = 5.6908 Å, b = 5.6908 Å, c = 5.6908 Å
α = 90.00°, β = 90.00°, γ = 90.00°
Last column: nearest neighbours and their distance in Å.
Fractional positions:
Cd1 0.0000 0.5000 0.0000  2 Te 2.85
Cd2 0.0000 0.0000 0.5000  2 Te 2.85
Cd3 0.5000 0.0000 0.0000  2 Te 2.85
Te1 0.0000 0.0000 0.0000  6 Cd 2.85
O1 0.5000 0.5000 0.5000  12 Cd 4.02

=====

What should be chosen as the most stable of them? Choose #a.

=====

#a
DFT (PBE) results for Cd2Te2O7 after structural relaxation.

total magnetic moment: 0.000 μB per atom

a = 7.5510 Å, b = 8.5201 Å, c = 10.0892 Å
α = 86.28°, β = 78.81°, γ = 77.13°
Last column: nearest neighbours and their distance in Å.
Fractional positions:
Cd1 0.2572 0.4910 0.4928  6 O 2.23-2.48
Cd2 0.7428 0.5090 0.5072  6 O 2.23-2.48
Cd3 0.3073 0.6224 0.1125  6 O 2.35-2.55
Cd4 0.6927 0.3776 0.8875  6 O 2.35-2.55
Cd5 0.5000 0.0000 0.0000  6 O 2.26-2.31
Cd6 0.8100 0.6510 0.1085  6 O 2.25-2.52
Cd7 0.0000 0.0000 0.0000  2 O 2.18
Cd8 0.1900 0.3490 0.8915  6 O 2.25-2.52
O1 0.2060 0.1515 0.0686  1 Te 1.93
O2 0.6819 0.1535 0.0667  1 Te 1.92
O3 0.0614 0.4604 0.1345  1 Te 1.91
O4 0.7896 0.9526 0.6679  2 Te 1.97-2.07
O5 0.5062 0.8180 0.1734  1 Te 1.88
O6 0.7940 0.8485 0.9314  1 Te 1.93
O7 0.9952 0.1835 0.8386  1 Te 1.92
O8 0.6421 0.6690 0.7750  2 Te 1.96-1.98
O9 0.2317 0.2909 0.6447  1 Te 1.94
O10 0.3579 0.3310 0.2250  2 Te 1.96-1.98
O11 0.2104 0.0474 0.3322  2 Te 1.97-2.07
O12 0.6319 0.4665 0.1130  1 Te 1.96
O13 0.9386 0.5396 0.8655  1 Te 1.91
O14 0.4111 0.9393 0.6605  2 Te 1.96-2.11
O15 0.0434 0.3486 0.4155  1 Te 1.92
O16 0.4302 0.6180 0.6042  1 Te 1.90
O17 0.1143 0.8086 0.7515  2 Te 1.99
O18 0.4938 0.1820 0.8266  1 Te 1.88
O19 0.7683 0.7091 0.3553  1 Te 1.94
O20 0.5889 0.0607 0.3395  2 Te 1.96-2.11
O21 0.8857 0.1914 0.2485  2 Te 1.99
O22 0.7971 0.3109 0.6589  1 Te 1.94
O23 0.0048 0.8165 0.1614  1 Te 1.92
O24 0.3681 0.5335 0.8870  1 Te 1.96
O25 0.5698 0.3820 0.3958  1 Te 1.90
O26 0.9566 0.6514 0.5845  1 Te 1.92
O27 0.2029 0.6891 0.3411  1 Te 1.94
O28 0.3181 0.8465 0.9333  1 Te 1.92
Te1 0.9596 0.8284 0.3551  3 O 1.92-1.94
Te2 0.6237 0.2737 0.2293  6 O 1.90-2.11
Te3 0.0404 0.1716 0.6449  3 O 1.92-1.94
Te4 0.1201 0.2651 0.2363  6 O 1.91-2.07
Te5 0.5573 0.1042 0.6492  3 O 1.88-1.97
Te6 0.4427 0.8958 0.3508  3 O 1.88-1.97
Te7 0.8799 0.7349 0.7637  6 O 1.91-2.07
Te8 0.3763 0.7263 0.7707  6 O 1.90-2.11

=====

#b
DFT (PBE) results for Cd2Te2O7 after structural relaxation.

total magnetic moment: 0.000 μB per atom

a = 5.7816 Å, b = 5.8978 Å, c = 5.8978 Å
α = 107.70°, β = 93.72°, γ = 93.72°
Last column: nearest neighbours and their distance in Å.
Fractional positions:
Cd1 0.5000 0.3028 0.6972  6 O 2.27-2.51
Cd2 0.5000 0.6972 0.3028  6 O 2.27-2.51
O1 0.3121 0.9319 0.6077  1 Te 1.91
O2 0.3121 0.6077 0.9319  1 Te 1.91
O3 0.7885 0.5430 0.5430  2 Te 2.07-2.21
O4 0.2115 0.4570 0.4570  2 Te 2.07-2.21
O5 0.6879 0.0681 0.3923  1 Te 1.91
O6 0.6879 0.3923 0.0681  1 Te 1.91
O7 0.0000 0.0000 0.0000  2 Te 2.03
Te1 0.8816 0.2640 0.2640  4 O 1.91-2.07
Te2 0.1184 0.7360 0.7360  4 O 1.91-2.07

=====

What should be chosen as the most stable of them? Choose #a.

=====

#a
DFT (PBE) results for CdTe2O6 after structural relaxation.

total magnetic moment: 0.000 μB per atom

a = 3.9312 Å, b = 5.5894 Å, c = 7.0524 Å
α = 70.97°, β = 73.82°, γ = 69.41°
Last column: nearest neighbours and their distance in Å.
Fractional positions:
O1 0.0195 0.1601 0.8009  1 Te 1.90
O2 0.6539 0.2865 0.4056  1 Te 1.89
O3 0.9805 0.8399 0.1991  1 Te 1.90
O4 0.3052 0.2989 0.0907  2 Te 2.03
O5 0.3461 0.7135 0.5944  1 Te 1.89
O6 0.6948 0.7011 0.9093  2 Te 2.03
Te1 0.1804 0.7851 0.8542  4 O 1.89-2.03
Te2 0.8196 0.2149 0.1458  4 O 1.89-2.03
Cd1 0.0000 0.5000 0.5000  6 O 2.34-2.43

=====

#b
DFT (PBE) results for CdTe2O6 after structural relaxation.

total magnetic moment: 0.000 μB per atom

a = 3.3188 Å, b = 6.1765 Å, c = 7.7298 Å
α = 96.78°, β = 102.40°, γ = 90.00°
Last column: nearest neighbours and their distance in Å.
Fractional positions:
O1 0.0437 0.2365 0.0874  1 Te 1.91
O2 0.6761 0.5272 0.3522  2 Te 2.14
O3 0.6809 0.1113 0.3618  2 Te 2.07
O4 0.9563 0.7635 0.9126  1 Te 1.91
O5 0.3239 0.4728 0.6478  2 Te 2.14
O6 0.3191 0.8887 0.6382  2 Te 2.07
Te1 0.8295 0.6938 0.6591  3 O 1.91-2.07
Te2 0.1705 0.3062 0.3409  3 O 1.91-2.07
Cd1 0.5000 0.0000 0.0000  4 O 2.26

=====

What should be chosen as the most stable of them? Choose #a.

=====

#a
DFT (PBE) results for TiCd2O4 after structural relaxation.

total magnetic moment: 0.000 μB per atom

a = 6.1026 Å, b = 6.1026 Å, c = 6.8357 Å
α = 104.44°, β = 104.44°, γ = 116.19°
Last column: nearest neighbours and their distance in Å.
Fractional positions:
O1 0.8418 0.3194 0.0908  1 Ti 1.84
O2 0.2513 0.2285 0.9086  1 Ti 1.84
O3 0.3194 0.8418 0.5908  1 Ti 1.84
O4 0.1582 0.6806 0.9092  1 Ti 1.84
O5 0.6806 0.1582 0.4092  1 Ti 1.84
O6 0.2285 0.2513 0.4086  1 Ti 1.84
O7 0.7715 0.7487 0.5914  1 Ti 1.84
O8 0.7487 0.7715 0.0914  1 Ti 1.84
Ti1 0.8749 0.1251 0.2500  4 O 1.84
Ti2 0.1251 0.8749 0.7500  4 O 1.84
Cd1 0.5586 0.4414 0.2500  2 O 2.19
Cd2 0.8090 0.1910 0.7500  2 O 2.19
Cd3 0.1910 0.8090 0.2500  2 O 2.19
Cd4 0.4414 0.5586 0.7500  2 O 2.19

=====

#b
DFT (PBE) results for TiCd2O4 after structural relaxation.

total magnetic moment: 0.000 μB per atom

a = 3.1544 Å, b = 5.7883 Å, c = 6.0394 Å
α = 122.69°, β = 105.14°, γ = 90.00°
Last column: nearest neighbours and their distance in Å.
Fractional positions:
O1 0.3802 0.7498 0.7604  2 Ti 2.07, 1 Cd 2.21
O2 0.6198 0.2502 0.2396  2 Ti 2.07, 1 Cd 2.21
O3 0.1068 0.8424 0.2137  1 Ti 1.91
O4 0.8932 0.1576 0.7863  1 Ti 1.91
Cd1 0.3185 0.3134 0.6369  4 O 2.21-2.45
Cd2 0.6815 0.6866 0.3631  4 O 2.21-2.45
Ti1 0.0000 0.0000 0.0000  6 O 1.91-2.07

=====

What should be chosen as the most stable of them? Choose #a.